Entry 1:
## MnSb4Br (PBE-GGA)

Data for a relaxed structure of MnSb4Br.

Results
Uncorrected energy ... -4.132 eV per atom
Raw formation energy ... 0.424 eV/atom

a = 6.2729 Å, b = 6.2729 Å, c = 6.2729 Å
α = 60.00°, β = 60.00°, γ = 60.00°
Last column: nearest neighbours and their distance in Å.
Fractional coordinates of all 6 atoms:
Mn1 0.0000 0.0000 0.0000  12 Sb 3.69, 4 Br 3.84
Sb1 0.8571 0.3810 0.3810  6 Sb 2.99-3.29
Sb2 0.3810 0.3810 0.8571  6 Sb 2.99-3.29
Sb3 0.3810 0.8571 0.3810  6 Sb 2.99-3.29
Sb4 0.3810 0.3810 0.3810  6 Sb 2.99-3.29
Br1 0.7500 0.7500 0.7500  12 Sb 3.66, 4 Mn 3.84

---

Entry 2:
## MnSb2Br (PBE-GGA)

Data for a relaxed structure of MnSb2Br.

Results
Uncorrected energy ... -4.666 eV per atom
Raw formation energy ... 0.106 eV/atom
Offset from the most stable computed form ... 0.200 eV per atom

a = 3.4597 Å, b = 3.4597 Å, c = 9.9503 Å
α = 90.00°, β = 90.00°, γ = 113.42°
Last column: nearest neighbours and their distance in Å.
Fractional coordinates of all 4 atoms:
Br1 0.0000 0.0000 0.5816  2 Mn 2.55
Mn1 0.5000 0.5000 0.7527  2 Br 2.55, 2 Sb 2.79
Sb1 0.0000 0.0000 0.9583  2 Mn 2.79, 2 Sb 3.12
Sb2 0.5000 0.5000 0.2073  6 Sb 3.12-3.46

---

Entry 3:
## MnSbBr4 (PBE-GGA)

Data for a relaxed structure of MnSbBr4.

Results
Uncorrected energy ... -2.530 eV per atom
Raw formation energy ... 0.801 eV/atom

a = 6.2403 Å, b = 6.2403 Å, c = 6.2403 Å
α = 60.00°, β = 60.00°, γ = 60.00°
Last column: nearest neighbours and their distance in Å.
Fractional coordinates of all 6 atoms:
Mn1 0.7500 0.7500 0.7500  12 Br 3.66, 4 Sb 3.82
Sb1 0.0000 0.0000 0.0000  12 Br 3.66, 4 Mn 3.82
Br1 0.8737 0.3754 0.3754  6 Br 3.11-3.13
Br2 0.3754 0.3754 0.8737  6 Br 3.11-3.13
Br3 0.3754 0.8737 0.3754  6 Br 3.11-3.13
Br4 0.3754 0.3754 0.3754  6 Br 3.11-3.13

---

Entry 4:
## MnSbBr3 (PBE-GGA)

Data for a relaxed structure of MnSbBr3.

Results
Uncorrected energy ... -3.487 eV per atom
Raw formation energy ... 0.175 eV/atom
Offset from the most stable computed form ... 0.000 eV per atom

a = 5.7089 Å, b = 5.7089 Å, c = 5.7089 Å
α = 90.00°, β = 90.00°, γ = 90.00°
Last column: nearest neighbours and their distance in Å.
Fractional coordinates of all 5 atoms:
Sb1 0.0000 0.0000 0.0000  6 Br 2.85
Mn1 0.5000 0.5000 0.5000  12 Br 4.04
Br1 0.0000 0.5000 0.0000  2 Sb 2.85
Br2 0.0000 0.0000 0.5000  2 Sb 2.85
Br3 0.5000 0.0000 0.0000  2 Sb 2.85

---

Entry 5:
## MnSb2Br (PBE-GGA)

Data for a relaxed structure of MnSb2Br.

Results
Uncorrected energy ... -4.431 eV per atom
Raw formation energy ... 0.340 eV/atom
Offset from the most stable computed form ... 0.435 eV per atom

a = 5.1944 Å, b = 5.1944 Å, c = 5.1944 Å
α = 120.12°, β = 120.12°, γ = 89.79°
Last column: nearest neighbours and their distance in Å.
Fractional coordinates of all 4 atoms:
Br1 0.5000 0.5000 0.0000  4 Sb 3.18, 4 Mn 3.18
Mn1 0.7500 0.2500 0.5000  4 Br 3.18, 4 Sb 3.18
Sb1 0.0000 0.0000 0.0000  4 Mn 3.18, 4 Sb 3.18
Sb2 0.2500 0.7500 0.5000  4 Sb 3.18, 4 Br 3.18

---

Entry 6:
## MnSbBr2 (PBE-GGA)

Data for a relaxed structure of MnSbBr2.

Results
Uncorrected energy ... -4.391 eV per atom
Raw formation energy ... -0.232 eV/atom
Offset from the most stable computed form ... 0.022 eV per atom

a = 3.5853 Å, b = 5.6366 Å, c = 7.1041 Å
α = 51.94°, β = 90.00°, γ = 90.00°
Last column: nearest neighbours and their distance in Å.
Fractional coordinates of all 4 atoms:
Br1 0.0000 0.0259 0.9950  1 Mn 2.54
Br2 0.5000 0.2782 0.3721  2 Mn 2.62, 1 Sb 2.87
Mn1 0.0000 0.5648 0.4330  3 Br 2.54-2.62, 2 Sb 2.80
Sb1 0.5000 0.6311 0.6999  2 Mn 2.80, 1 Br 2.87